Entry 1:
Material: Sc2TeSe
Method: DFT, PBE
State: relaxed

Cell: 7.6928 7.6928 7.6928 Å, 131.73 131.73 70.66°
Sites, in units of the cell vectors:
Sc: 0.0962 0.6250 0.9712
Sc: 0.3750 0.3462 0.4712
Sc: 0.6538 0.1250 0.0288
Sc: 0.8750 0.9038 0.5288
Te: 0.2500 0.7500 0.5000
Te: 0.5000 0.5000 0.0000
Se: 0.0000 0.0000 0.0000
Se: 0.7500 0.2500 0.5000

Calculated values
Formation energy from raw total energies   -1025.3 meV per atom
E above lowest polymorph   369 meV/atom
Space-group type   I-42d, No. 122
DOS at the Fermi energy   0.95 states/eV/atom

***

Entry 2:
Material: Ba6Ge2AsI3
Method: DFT, PBE
State: relaxed

Cell: 8.0864 8.0864 9.0814 Å, 98.65 98.65 114.40°
Sites, in units of the cell vectors:
Ba: 0.0690 0.3995 0.2049
Ba: 0.2432 0.2432 0.7755
Ba: 0.3995 0.0690 0.2049
Ba: 0.6005 0.9310 0.7951
Ba: 0.7568 0.7568 0.2245
Ba: 0.9310 0.6005 0.7951
Ge: 0.3535 0.6465 0.0000
Ge: 0.6465 0.3535 0.0000
As: 0.0000 0.0000 0.0000
I: 0.1720 0.8280 0.5000
I: 0.5000 0.5000 0.5000
I: 0.8280 0.1720 0.5000

Calculated values
Formation energy from raw total energies   -1107.7 meV per atom
Space-group type   C2/m, No. 12
DOS at the Fermi energy   0.53 states/eV/atom

***

Number 1: E -5.85 eV/atom. Number 2: E -3.61 eV/atom.